[1]
Density functional theory data (PBE) for crystalline LaPrSm4Se8 at its relaxed geometry.

Properties
* energy relative to the elements, uncorrected: -1.7485 eV per atom
* space-group type: R3m, No. 160

Cell lengths 8.693, 8.693, 8.693 Å; angles 59.71, 59.71, 59.71 degrees
Atoms (fractional coordinates):
La (0.000, 0.000, 0.000)
Pr (0.625, 0.625, 0.625)
Sm (0.129, 0.625, 0.625)
Sm (0.252, 0.252, 0.252)
Sm (0.625, 0.129, 0.625)
Sm (0.625, 0.625, 0.129)
Se (0.379, 0.379, 0.857)
Se (0.379, 0.857, 0.379)
Se (0.384, 0.384, 0.384)
Se (0.405, 0.869, 0.869)
Se (0.857, 0.379, 0.379)
Se (0.865, 0.865, 0.865)
Se (0.869, 0.405, 0.869)
Se (0.869, 0.869, 0.405)

[2]
Density functional theory data (PBE) for crystalline LaPr4SmSe8 at its relaxed geometry.

Properties
* energy relative to the elements, uncorrected: -1.7492 eV per atom
* space-group type: R3m, No. 160

Cell lengths 8.746, 8.746, 8.746 Å; angles 60.24, 60.24, 60.24 degrees
Atoms (fractional coordinates):
La (0.000, 0.000, 0.000)
Pr (0.376, 0.376, 0.874)
Pr (0.376, 0.874, 0.376)
Pr (0.752, 0.752, 0.752)
Pr (0.874, 0.376, 0.376)
Sm (0.376, 0.376, 0.376)
Se (0.134, 0.134, 0.134)
Se (0.138, 0.138, 0.598)
Se (0.138, 0.598, 0.138)
Se (0.150, 0.614, 0.614)
Se (0.598, 0.138, 0.138)
Se (0.614, 0.150, 0.614)
Se (0.614, 0.614, 0.150)
Se (0.619, 0.619, 0.619)